P) CuAsH | PBE-GGA | relaxed

Summary:
density of states at the Fermi level: 3.5 states/eV/cell

Cell: 4.039 5.746 6.960 Å, 90.00 90.00 90.00°
Space group P2_12_12_1 (No. 19)
Asymmetric unit:
Cu1 0.097 0.110 0.218 x4
As1 0.073 0.559 0.616 x4
H1 0.168 0.659 0.089 x4

***

Q) CuAsH | PBE-GGA | relaxed

Summary:
density of states at the Fermi level: 1.8 states/eV/cell

Cell: 4.001 4.001 6.185 Å, 90.00 90.00 90.00°
Space group P4/nmm (No. 129, origin choice 2)
Asymmetric unit:
Cu1 0.250 0.750 0.000 x2
As1 0.250 0.250 0.215 x2
H1 0.250 0.250 0.463 x2

***

Which one is most stable, and which one is least stable? Q) is the most stable of them, while P) is the least stable.